# CsTbV2O6 GGA+U relaxed
# E   -7.371 eV/atom
data_CsTbV2O6
_symmetry_space_group_name_H-M 'C 1 2/c 1'
_symmetry_Int_Tables_number 15
_cell_length_a 11.079
_cell_length_b 10.235
_cell_length_c 6.124
_cell_angle_alpha 90.00
_cell_angle_beta 103.35
_cell_angle_gamma 90.00
loop_
_symmetry_equiv_pos_as_xyz
'x,y,z'
'-x,-y,-z'
'-x,y,-z+1/2'
'x,-y,z+1/2'
'x+1/2,y+1/2,z'
'-x+1/2,-y+1/2,-z'
'-x+1/2,y+1/2,-z+1/2'
'x+1/2,-y+1/2,z+1/2'
loop_
_atom_site_label
_atom_site_fract_x
_atom_site_fract_y
_atom_site_fract_z
Cs1 0.000 0.179 0.250
Tb1 0.000 0.400 0.750
V1 0.223 0.089 0.826
O1 0.109 0.438 0.113
O2 0.147 0.242 0.766
O3 0.172 0.005 0.057

# CsTbVO4 GGA+U relaxed
# E   -7.131 eV/atom
data_CsTbVO4
_symmetry_space_group_name_H-M 'P 1 21/m 1'
_symmetry_Int_Tables_number 11
_cell_length_a 5.992
_cell_length_b 6.014
_cell_length_c 8.080
_cell_angle_alpha 90.00
_cell_angle_beta 108.44
_cell_angle_gamma 90.00
loop_
_symmetry_equiv_pos_as_xyz
'x,y,z'
'-x,-y,-z'
'-x,y+1/2,-z'
'x,-y+1/2,z'
loop_
_atom_site_label
_atom_site_fract_x
_atom_site_fract_y
_atom_site_fract_z
Cs1 0.218 0.250 0.441
Tb1 0.319 0.250 0.962
V1 0.218 0.750 0.141
O1 0.016 0.750 0.932
O2 0.041 0.750 0.283
O3 0.449 0.528 0.157

# Cs2TbWO6 GGA+U relaxed
# E   -6.412 eV/atom
data_Cs2TbWO6
_symmetry_space_group_name_H-M 'P -3 m 1'
_symmetry_Int_Tables_number 164
_symmetry_space_group_name_Hall '-P 3 2"'
_cell_length_a 6.8469
_cell_length_b 6.8469
_cell_length_c 5.9265
_cell_angle_alpha 90.00
_cell_angle_beta 90.00
_cell_angle_gamma 120.00
loop_
_atom_site_label
_atom_site_fract_x
_atom_site_fract_y
_atom_site_fract_z
Cs1 0.3333 0.6667 0.1245
Tb1 0.0000 0.0000 0.5000
W1 0.0000 0.0000 0.0000
O1 0.1290 0.2581 0.7933